No. 1
DFT (PBE) results for a geometry-optimized Er3Tl4 structure.

```
14
Lattice="7.087 4.092 2.159 -7.087 4.092 2.159 0.000 -8.183 2.159" Properties=species:S:1:pos:R:3 pbc="T T T"
Er -5.170 -1.965 2.938
Er -0.883 -5.460 3.538
Er -4.287 3.495 3.538
Er 4.287 -3.495 2.938
Er 0.883 5.460 2.938
Er 5.170 1.965 3.538
Tl 0.000 0.000 0.000
Tl -3.257 0.661 1.981
Tl 1.056 -3.151 1.981
Tl -2.201 -2.490 4.495
Tl 0.000 0.000 3.238
Tl 2.201 2.490 1.981
Tl -1.056 3.151 4.495
Tl 3.257 -0.661 4.495
```

Summary:
The value obtained for the volume is 375.5 Å³ per cell. The total magnetization is 0.00 μB per cell. The value obtained for the calculated total energy is -3.586 eV/atom.

***

No. 2
DFT (PBE) results for a geometry-optimized ErTl3 structure.

```
4
Lattice="3.473 0.000 0.000 0.000 3.538 0.000 0.000 0.000 9.984" Properties=species:S:1:pos:R:3 pbc="T T T"
Er 0.000 0.000 0.000
Tl 0.000 1.769 2.683
Tl 1.736 0.000 5.119
Tl 1.736 1.769 7.913
```

Summary:
The value obtained for the volume is 122.7 Å³ per cell. The total magnetization is 0.10 μB per cell. The value obtained for the calculated total energy is -2.879 eV/atom.

***

No. 3
DFT (PBE) results for a geometry-optimized ErTl structure.

```
2
Lattice="3.585 0.000 0.000 0.000 3.585 0.000 0.000 0.000 4.169" Properties=species:S:1:pos:R:3 pbc="T T T"
Er 0.000 0.000 0.000
Tl 1.792 1.792 2.084
```

Summary:
The value obtained for the volume is 53.6 Å³ per cell. The total magnetization is 0.09 μB per cell. The value obtained for the calculated total energy is -3.777 eV/atom.

***

No. 4
DFT (PBE) results for a geometry-optimized ErTl3 structure.

```
4
Lattice="-2.319 2.319 5.071 2.319 -2.319 5.071 2.319 2.319 -5.071" Properties=species:S:1:pos:R:3 pbc="T T T"
Er 0.000 0.000 0.000
Tl 2.319 0.000 2.535
Tl 0.000 0.000 5.071
Tl 0.000 2.319 2.535
```

Summary:
The value obtained for the volume is 109.1 Å³ per cell. The total magnetization is 0.00 μB per cell. The value obtained for the calculated total energy is -3.049 eV/atom.

***

No. 5
DFT (PBE) results for a geometry-optimized Er3Tl7 structure.

```
10
Lattice="8.751 -2.379 0.000 8.751 2.379 0.000 -1.380 0.000 6.479" Properties=species:S:1:pos:R:3 pbc="T T T"
Er 0.000 0.000 0.000
Er 2.453 0.000 3.959
Er 13.668 0.000 2.520
Tl -0.690 0.000 3.239
Tl 3.429 0.000 0.792
Tl 5.905 0.000 4.499
Tl 6.814 0.000 1.220
Tl 9.307 0.000 5.259
Tl 10.216 0.000 1.980
Tl 12.693 0.000 5.687
```

Summary:
The value obtained for the volume is 269.8 Å³ per cell. The total magnetization is 0.00 μB per cell. The value obtained for the calculated total energy is -3.224 eV/atom.

***

No. 6
DFT (PBE) results for a geometry-optimized Er5Tl4 structure.

```
18
Lattice="9.240 0.000 0.000 -4.620 8.002 0.000 0.000 0.000 6.672" Properties=species:S:1:pos:R:3 pbc="T T T"
Er -1.336 2.314 1.668
Er -3.284 5.688 5.004
Er 2.672 0.000 1.668
Er 1.336 2.314 5.004
Er 0.000 5.335 0.000
Er 0.000 5.335 3.336
Er 4.620 2.667 0.000
Er 4.620 2.667 3.336
Er 6.568 0.000 5.004
Er 3.284 5.688 1.668
Tl 0.000 0.000 0.000
Tl 0.000 0.000 3.336
Tl -1.730 2.996 5.004
Tl -2.890 5.006 1.668
Tl 3.460 0.000 5.004
Tl 1.730 2.996 1.668
Tl 5.780 0.000 1.668
Tl 2.890 5.006 5.004
```

Summary:
The value obtained for the volume is 493.3 Å³ per cell. The total magnetization is 0.00 μB per cell. The value obtained for the calculated total energy is -3.910 eV/atom.